Material: TmTh2PdRh5
Method: DFT, PBE
State: optimized geometry

Cell and atoms, written as CIF:
```
data_TmTh2PdRh5
_chemical_formula_sum 'Tm4 Th8 Pd4 Rh20'
_space_group_name_H-M_alt 'I 4/m c m'
_space_group_IT_number 140
_space_group_name_Hall '-I 4 2c'
_cell_length_a 8.3664
_cell_length_b 8.3664
_cell_length_c 10.7084
_cell_angle_alpha 90.00
_cell_angle_beta 90.00
_cell_angle_gamma 90.00
loop_
_atom_site_label
_atom_site_type_symbol
_atom_site_fract_x
_atom_site_fract_y
_atom_site_fract_z
Tm1 Tm 0.0000 0.0000 0.2500
Th1 Th 0.1394 0.3606 0.0000
Pd1 Pd 0.0000 0.5000 0.2500
Rh1 Rh 0.0000 0.0000 0.0000
Rh2 Rh 0.1901 0.3099 0.3631
```

Output
**Energy of formation from the pure elements**: -0.385 eV/atom
**Calculated total energy**: -7.192 eV/atom



Material: YTh2PdRh5
Method: DFT, PBE
State: optimized geometry

Cell and atoms, written as CIF:
```
data_YTh2PdRh5
_chemical_formula_sum 'Y4 Th8 Pd4 Rh20'
_space_group_name_H-M_alt 'I 4/m c m'
_space_group_IT_number 140
_space_group_name_Hall '-I 4 2c'
_cell_length_a 8.3698
_cell_length_b 8.3698
_cell_length_c 10.7877
_cell_angle_alpha 90.00
_cell_angle_beta 90.00
_cell_angle_gamma 90.00
loop_
_atom_site_label
_atom_site_type_symbol
_atom_site_fract_x
_atom_site_fract_y
_atom_site_fract_z
Y1 Y 0.0000 0.0000 0.2500
Th1 Th 0.1396 0.3604 0.0000
Pd1 Pd 0.0000 0.5000 0.2500
Rh1 Rh 0.0000 0.0000 0.0000
Rh2 Rh 0.1892 0.3108 0.3643
```

Output
**Energy of formation from the pure elements**: -0.385 eV/atom
**Calculated total energy**: -7.414 eV/atom



Material: ThZrPdRh
Method: DFT, PBE
State: optimized geometry

Cell and atoms, written as CIF:
```
data_ThZrPdRh
_chemical_formula_sum 'Th4 Zr4 Pd4 Rh4'
_space_group_name_H-M_alt 'F -4 3 m'
_space_group_IT_number 216
_space_group_name_Hall 'F -4 2 3'
_cell_length_a 6.9511
_cell_length_b 6.9511
_cell_length_c 6.9511
_cell_angle_alpha 90.00
_cell_angle_beta 90.00
_cell_angle_gamma 90.00
loop_
_atom_site_label
_atom_site_type_symbol
_atom_site_fract_x
_atom_site_fract_y
_atom_site_fract_z
Th1 Th 0.0000 0.0000 0.0000
Zr1 Zr 0.0000 0.0000 0.5000
Pd1 Pd 0.2500 0.2500 0.7500
Rh1 Rh 0.2500 0.2500 0.2500
```

Output
**Energy of formation from the pure elements**: -0.603 eV/atom
**Calculated total energy**: -7.731 eV/atom



Material: TiPd3Rh
Method: DFT, PBE
State: optimized geometry

Cell and atoms, written as CIF:
```
data_TiPd3Rh
_chemical_formula_sum 'Ti1 Pd3 Rh1'
_space_group_name_H-M_alt 'P m -3 m'
_space_group_IT_number 221
_space_group_name_Hall '-P 4 2 3'
_cell_length_a 4.5497
_cell_length_b 4.5497
_cell_length_c 4.5497
_cell_angle_alpha 90.00
_cell_angle_beta 90.00
_cell_angle_gamma 90.00
loop_
_atom_site_label
_atom_site_type_symbol
_atom_site_fract_x
_atom_site_fract_y
_atom_site_fract_z
Ti1 Ti 0.0000 0.0000 0.0000
Pd1 Pd 0.0000 0.0000 0.5000
Rh1 Rh 0.5000 0.5000 0.5000
```

Output
**Energy of formation from the pure elements**: 0.718 eV/atom
**Calculated total energy**: -5.446 eV/atom



Material: TiPd3Rh
Method: DFT, PBE
State: optimized geometry

Cell and atoms, written as CIF:
```
data_TiPd3Rh
_chemical_formula_sum 'Ti4 Pd12 Rh4'
_space_group_name_H-M_alt 'C 1 2/c 1'
_space_group_IT_number 15
_cell_length_a 7.7838
_cell_length_b 5.6404
_cell_length_c 7.8911
_cell_angle_alpha 90.00
_cell_angle_beta 112.93
_cell_angle_gamma 90.00
loop_
_space_group_symop_operation_xyz
'x,y,z'
'-x,-y,-z'
'-x,y,-z+1/2'
'x,-y,z+1/2'
'x+1/2,y+1/2,z'
'-x+1/2,-y+1/2,-z'
'-x+1/2,y+1/2,-z+1/2'
'x+1/2,-y+1/2,z+1/2'
loop_
_atom_site_label
_atom_site_type_symbol
_atom_site_fract_x
_atom_site_fract_y
_atom_site_fract_z
Ti1 Ti 0.0000 0.0424 0.2500
Pd1 Pd 0.1426 0.2388 0.5977
Pd2 Pd 0.2500 0.2500 0.0000
Rh1 Rh 0.0000 0.4383 0.2500
```

Output
**Energy of formation from the pure elements**: -0.272 eV/atom
**Calculated total energy**: -6.437 eV/atom



Material: Ti2PdRh2
Method: DFT, PBE
State: optimized geometry

Cell and atoms, written as CIF:
```
data_Ti2PdRh2
_chemical_formula_sum 'Ti4 Pd2 Rh4'
_space_group_name_H-M_alt 'P 4/m b m'
_space_group_IT_number 127
_space_group_name_Hall '-P 4 2ab'
_cell_length_a 7.2975
_cell_length_b 7.2975
_cell_length_c 2.9291
_cell_angle_alpha 90.00
_cell_angle_beta 90.00
_cell_angle_gamma 90.00
loop_
_atom_site_label
_atom_site_type_symbol
_atom_site_fract_x
_atom_site_fract_y
_atom_site_fract_z
Ti1 Ti 0.1549 0.3451 0.0000
Pd1 Pd 0.0000 0.0000 0.0000
Rh1 Rh 0.1433 0.6433 0.5000
```

Output
**Energy of formation from the pure elements**: -0.562 eV/atom
**Calculated total energy**: -7.699 eV/atom



Material: Ti3Pd3Rh
Method: DFT, PBE
State: optimized geometry

Cell and atoms, written as CIF:
```
data_Ti3Pd3Rh
_chemical_formula_sum 'Ti12 Pd12 Rh4'
_space_group_name_H-M_alt 'C 1 2/m 1'
_space_group_IT_number 12
_cell_length_a 6.2447
_cell_length_b 8.1788
_cell_length_c 8.8217
_cell_angle_alpha 90.00
_cell_angle_beta 94.02
_cell_angle_gamma 90.00
loop_
_space_group_symop_operation_xyz
'x,y,z'
'-x,-y,-z'
'-x,y,-z'
'x,-y,z'
'x+1/2,y+1/2,z'
'-x+1/2,-y+1/2,-z'
'-x+1/2,y+1/2,-z'
'x+1/2,-y+1/2,z'
loop_
_atom_site_label
_atom_site_type_symbol
_atom_site_fract_x
_atom_site_fract_y
_atom_site_fract_z
Ti1 Ti 0.1750 0.1953 0.2738
Ti2 Ti 0.2222 0.0000 0.9514
Pd1 Pd 0.0000 0.2567 0.0000
Pd2 Pd 0.0000 0.3253 0.5000
Pd3 Pd 0.1357 0.0000 0.6282
Rh1 Rh 0.0324 0.5000 0.7766
```

Output
**Energy of formation from the pure elements**: -0.523 eV/atom
**Calculated total energy**: -7.182 eV/atom



Material: Ti5PdRh4
Method: DFT, PBE
State: optimized geometry

Cell and atoms, written as CIF:
```
data_Ti5PdRh4
_chemical_formula_sum 'Ti5 Pd1 Rh4'
_space_group_name_H-M_alt 'P 4/m m m'
_space_group_IT_number 123
_space_group_name_Hall '-P 4 2'
_cell_length_a 2.9373
_cell_length_b 2.9373
_cell_length_c 17.5479
_cell_angle_alpha 90.00
_cell_angle_beta 90.00
_cell_angle_gamma 90.00
loop_
_atom_site_label
_atom_site_type_symbol
_atom_site_fract_x
_atom_site_fract_y
_atom_site_fract_z
Ti1 Ti 0.0000 0.0000 0.0000
Ti2 Ti 0.0000 0.0000 0.1975
Ti3 Ti 0.0000 0.0000 0.3939
Pd1 Pd 0.5000 0.5000 0.5000
Rh1 Rh 0.5000 0.5000 0.1002
Rh2 Rh 0.5000 0.5000 0.2948
```

Output
**Energy of formation from the pure elements**: -0.702 eV/atom
**Calculated total energy**: -8.109 eV/atom



Material: Ti6PdRh12
Method: DFT, PBE
State: optimized geometry

Cell and atoms, written as CIF:
```
data_Ti6PdRh12
_chemical_formula_sum 'Ti18 Pd3 Rh36'
_space_group_name_H-M_alt 'R -3'
_space_group_IT_number 148
_space_group_name_Hall '-R 3'
_cell_length_a 11.4798
_cell_length_b 11.4798
_cell_length_c 7.7268
_cell_angle_alpha 90.00
_cell_angle_beta 90.00
_cell_angle_gamma 120.00
loop_
_atom_site_label
_atom_site_type_symbol
_atom_site_fract_x
_atom_site_fract_y
_atom_site_fract_z
Ti1 Ti 0.0380 0.8473 0.2535
Pd1 Pd 0.0000 0.0000 0.5000
Rh1 Rh 0.0327 0.7859 0.5718
Rh2 Rh 0.0718 0.8266 0.9360
```

Output
**Energy of formation from the pure elements**: -0.469 eV/atom
**Calculated total energy**: -7.878 eV/atom



Material: TiPdRh
Method: DFT, PBE
State: optimized geometry

Cell and atoms, written as CIF:
```
data_TiPdRh
_chemical_formula_sum 'Ti4 Pd4 Rh4'
_space_group_name_H-M_alt 'I m m m'
_space_group_IT_number 71
_space_group_name_Hall '-I 2 2'
_cell_length_a 3.0238
_cell_length_b 6.0695
_cell_length_c 10.6155
_cell_angle_alpha 90.00
_cell_angle_beta 90.00
_cell_angle_gamma 90.00
loop_
_atom_site_label
_atom_site_type_symbol
_atom_site_fract_x
_atom_site_fract_y
_atom_site_fract_z
Ti1 Ti 0.0000 0.2433 0.0000
Pd1 Pd 0.0000 0.0000 0.3548
Rh1 Rh 0.0000 0.5000 0.3644
```

Output
**Energy of formation from the pure elements**: -0.467 eV/atom
**Calculated total energy**: -7.280 eV/atom



Material: TiPd3Rh
Method: DFT, PBE
State: optimized geometry

Cell and atoms, written as CIF:
```
data_TiPd3Rh
_chemical_formula_sum 'Ti1 Pd3 Rh1'
_space_group_name_H-M_alt 'P m -3 m'
_space_group_IT_number 221
_space_group_name_Hall '-P 4 2 3'
_cell_length_a 4.7567
_cell_length_b 4.7567
_cell_length_c 4.7567
_cell_angle_alpha 90.00
_cell_angle_beta 90.00
_cell_angle_gamma 90.00
loop_
_atom_site_label
_atom_site_type_symbol
_atom_site_fract_x
_atom_site_fract_y
_atom_site_fract_z
Ti1 Ti 0.0000 0.0000 0.0000
Pd1 Pd 0.0000 0.5000 0.5000
Rh1 Rh 0.5000 0.5000 0.5000
```

Output
**Energy of formation from the pure elements**: 1.130 eV/atom
**Calculated total energy**: -5.035 eV/atom



Material: Ti2PdRh2
Method: DFT, PBE
State: optimized geometry

Cell and atoms, written as CIF:
```
data_Ti2PdRh2
_chemical_formula_sum 'Ti4 Pd2 Rh4'
_space_group_name_H-M_alt 'P m m n'
_space_group_IT_number 59
_cell_length_a 2.9058
_cell_length_b 4.5052
_cell_length_c 11.8380
_cell_angle_alpha 90.00
_cell_angle_beta 90.00
_cell_angle_gamma 90.00
loop_
_space_group_symop_operation_xyz
'x,y,z'
'-x,-y,-z'
'-x+1/2,-y+1/2,z'
'x+1/2,y+1/2,-z'
'x+1/2,-y,-z'
'-x+1/2,y,z'
'-x,y+1/2,-z'
'x,-y+1/2,z'
loop_
_atom_site_label
_atom_site_type_symbol
_atom_site_fract_x
_atom_site_fract_y
_atom_site_fract_z
Ti1 Ti 0.2500 0.2500 0.0557
Ti2 Ti 0.2500 0.7500 0.3538
Pd1 Pd 0.2500 0.7500 0.7447
Rh1 Rh 0.2500 0.2500 0.4708
Rh2 Rh 0.2500 0.7500 0.1337
```

Output
**Energy of formation from the pure elements**: -0.518 eV/atom
**Calculated total energy**: -7.655 eV/atom



Material: Ti7Pd3Rh
Method: DFT, PBE
State: optimized geometry

Cell and atoms, written as CIF:
```
data_Ti7Pd3Rh
_chemical_formula_sum 'Ti14 Pd6 Rh2'
_space_group_name_H-M_alt 'I m m m'
_space_group_IT_number 71
_space_group_name_Hall '-I 2 2'
_cell_length_a 4.6175
_cell_length_b 8.8374
_cell_length_c 9.1446
_cell_angle_alpha 90.00
_cell_angle_beta 90.00
_cell_angle_gamma 90.00
loop_
_atom_site_label
_atom_site_type_symbol
_atom_site_fract_x
_atom_site_fract_y
_atom_site_fract_z
Ti1 Ti 0.0000 0.0000 0.0000
Ti2 Ti 0.0000 0.2139 0.5000
Ti3 Ti 0.0000 0.3221 0.2212
Pd1 Pd 0.0000 0.0000 0.2923
Pd2 Pd 0.0000 0.5000 0.0000
Rh1 Rh 0.0000 0.5000 0.5000
```

Output
**Energy of formation from the pure elements**: -0.161 eV/atom
**Calculated total energy**: -7.270 eV/atom



Material: Ti4PdRh
Method: DFT, PBE
State: optimized geometry

Cell and atoms, written as CIF:
```
data_Ti4PdRh
_chemical_formula_sum 'Ti4 Pd1 Rh1'
_space_group_name_H-M_alt 'P 4/m m m'
_space_group_IT_number 123
_space_group_name_Hall '-P 4 2'
_cell_length_a 3.0820
_cell_length_b 3.0820
_cell_length_c 9.9619
_cell_angle_alpha 90.00
_cell_angle_beta 90.00
_cell_angle_gamma 90.00
loop_
_atom_site_label
_atom_site_type_symbol
_atom_site_fract_x
_atom_site_fract_y
_atom_site_fract_z
Ti1 Ti 0.0000 0.0000 0.1597
Ti2 Ti 0.5000 0.5000 0.3327
Pd1 Pd 0.0000 0.0000 0.5000
Rh1 Rh 0.5000 0.5000 0.0000
```

Output
**Energy of formation from the pure elements**: -0.530 eV/atom
**Calculated total energy**: -7.884 eV/atom



Material: Ti6PdRh
Method: DFT, PBE
State: optimized geometry

Cell and atoms, written as CIF:
```
data_Ti6PdRh
_chemical_formula_sum 'Ti18 Pd3 Rh3'
_space_group_name_H-M_alt 'R -3 m'
_space_group_IT_number 166
_space_group_name_Hall '-R 3 2"'
_cell_length_a 9.0861
_cell_length_b 9.0861
_cell_length_c 5.5775
_cell_angle_alpha 90.00
_cell_angle_beta 90.00
_cell_angle_gamma 120.00
loop_
_atom_site_label
_atom_site_type_symbol
_atom_site_fract_x
_atom_site_fract_y
_atom_site_fract_z
Ti1 Ti 0.0033 0.5016 0.2498
Pd1 Pd 0.0000 0.0000 0.0000
Rh1 Rh 0.0000 0.0000 0.5000
```

Output
**Energy of formation from the pure elements**: -0.106 eV/atom
**Calculated total energy**: -7.595 eV/atom



Material: TiPdRh
Method: DFT, PBE
State: optimized geometry

Cell and atoms, written as CIF:
```
data_TiPdRh
_chemical_formula_sum 'Ti4 Pd4 Rh4'
_space_group_name_H-M_alt 'C m c m'
_space_group_IT_number 63
_space_group_name_Hall '-C 2c 2'
_cell_length_a 4.3951
_cell_length_b 9.5287
_cell_length_c 4.3848
_cell_angle_alpha 90.00
_cell_angle_beta 90.00
_cell_angle_gamma 90.00
loop_
_atom_site_label
_atom_site_type_symbol
_atom_site_fract_x
_atom_site_fract_y
_atom_site_fract_z
Ti1 Ti 0.0000 0.2502 0.2500
Pd1 Pd 0.0000 0.0911 0.7500
Rh1 Rh 0.0000 0.3932 0.7500
```

Output
**Energy of formation from the pure elements**: -0.582 eV/atom
**Calculated total energy**: -7.395 eV/atom



Material: Ti5Pd4Rh
Method: DFT, PBE
State: optimized geometry

Cell and atoms, written as CIF:
```
data_Ti5Pd4Rh
_chemical_formula_sum 'Ti5 Pd4 Rh1'
_space_group_name_H-M_alt 'P 4/m m m'
_space_group_IT_number 123
_space_group_name_Hall '-P 4 2'
_cell_length_a 2.8801
_cell_length_b 2.8801
_cell_length_c 18.7445
_cell_angle_alpha 90.00
_cell_angle_beta 90.00
_cell_angle_gamma 90.00
loop_
_atom_site_label
_atom_site_type_symbol
_atom_site_fract_x
_atom_site_fract_y
_atom_site_fract_z
Ti1 Ti 0.0000 0.0000 0.0000
Ti2 Ti 0.0000 0.0000 0.2024
Ti3 Ti 0.0000 0.0000 0.4066
Pd1 Pd 0.5000 0.5000 0.1017
Pd2 Pd 0.5000 0.5000 0.3041
Rh1 Rh 0.5000 0.5000 0.5000
```

Output
**Energy of formation from the pure elements**: -0.561 eV/atom
**Calculated total energy**: -7.321 eV/atom



Material: Ti2Pd9Rh
Method: DFT, PBE
State: optimized geometry

Cell and atoms, written as CIF:
```
data_Ti2Pd9Rh
_chemical_formula_sum 'Ti2 Pd9 Rh1'
_space_group_name_H-M_alt 'P 4/m m m'
_space_group_IT_number 123
_space_group_name_Hall '-P 4 2'
_cell_length_a 3.9312
_cell_length_b 3.9312
_cell_length_c 11.7506
_cell_angle_alpha 90.00
_cell_angle_beta 90.00
_cell_angle_gamma 90.00
loop_
_atom_site_label
_atom_site_type_symbol
_atom_site_fract_x
_atom_site_fract_y
_atom_site_fract_z
Ti1 Ti 0.0000 0.0000 0.1704
Pd1 Pd 0.0000 0.5000 0.0000
Pd2 Pd 0.0000 0.5000 0.3285
Pd3 Pd 0.5000 0.5000 0.1649
Pd4 Pd 0.5000 0.5000 0.5000
Rh1 Rh 0.0000 0.0000 0.5000
```

Output
**Energy of formation from the pure elements**: -0.404 eV/atom
**Calculated total energy**: -6.227 eV/atom



Material: Ti5Pd2Rh2
Method: DFT, PBE
State: optimized geometry

Cell and atoms, written as CIF:
```
data_Ti5Pd2Rh2
_chemical_formula_sum 'Ti20 Pd8 Rh8'
_space_group_name_H-M_alt 'C m c e'
_space_group_IT_number 64
_space_group_name_Hall '-C 2ac 2'
_cell_length_a 14.7874
_cell_length_b 6.3067
_cell_length_c 6.4021
_cell_angle_alpha 90.00
_cell_angle_beta 90.00
_cell_angle_gamma 90.00
loop_
_atom_site_label
_atom_site_type_symbol
_atom_site_fract_x
_atom_site_fract_y
_atom_site_fract_z
Ti1 Ti 0.0000 0.0000 0.0000
Ti2 Ti 0.1362 0.1812 0.3201
Pd1 Pd 0.2198 0.0000 0.0000
Rh1 Rh 0.0000 0.1399 0.6427
```

Output
**Energy of formation from the pure elements**: -0.467 eV/atom
**Calculated total energy**: -7.641 eV/atom



Material: Ti2Pd8Rh
Method: DFT, PBE
State: optimized geometry

Cell and atoms, written as CIF:
```
data_Ti2Pd8Rh
_chemical_formula_sum 'Ti4 Pd16 Rh2'
_space_group_name_H-M_alt 'C 1 2/m 1'
_space_group_IT_number 12
_cell_length_a 14.0239
_cell_length_b 3.9742
_cell_length_c 6.3373
_cell_angle_alpha 90.00
_cell_angle_beta 108.11
_cell_angle_gamma 90.00
loop_
_space_group_symop_operation_xyz
'x,y,z'
'-x,-y,-z'
'-x,y,-z'
'x,-y,z'
'x+1/2,y+1/2,z'
'-x+1/2,-y+1/2,-z'
'-x+1/2,y+1/2,-z'
'x+1/2,-y+1/2,z'
loop_
_atom_site_label
_atom_site_type_symbol
_atom_site_fract_x
_atom_site_fract_y
_atom_site_fract_z
Ti1 Ti 0.2181 0.0000 0.1605
Pd1 Pd 0.0440 0.0000 0.2316
Pd2 Pd 0.0995 0.5000 0.9525
Pd3 Pd 0.1476 0.0000 0.7070
Pd4 Pd 0.1787 0.5000 0.4108
Rh1 Rh 0.0000 0.5000 0.5000
```

Output
**Energy of formation from the pure elements**: -0.397 eV/atom
**Calculated total energy**: -6.277 eV/atom